Compound: La2Zn2Cd15
Source: Alexandria
Functional: PBE-GGA
Structure: optimized geometry

Structure (extended XYZ):
```
19
Lattice="5.0426 2.9113 4.9631 -5.0426 2.9113 4.9631 0.0000 -5.8227 4.9631" Properties=species:S:1:pos:R:3 pbc="T T T"
La 0.0000 0.0000 2.5700
La 0.0000 0.0000 12.3192
Zn 0.0000 0.0000 6.0267
Zn 0.0000 0.0000 8.8625
Cd -2.5213 -1.4557 4.9631
Cd 0.0000 -3.0124 4.6873
Cd -2.6088 1.5062 4.6873
Cd -1.4912 -2.5828 7.4446
Cd -2.9823 0.0000 7.4446
Cd -2.6088 -1.5062 10.2019
Cd -2.5213 1.4557 9.9261
Cd 1.4912 -2.5828 7.4446
Cd 0.0000 2.9113 4.9630
Cd -1.4912 2.5828 7.4446
Cd 2.6088 1.5062 4.6873
Cd 2.9823 0.0000 7.4446
Cd 1.4912 2.5828 7.4446
Cd 2.6088 -1.5062 10.2019
Cd 0.0000 3.0124 10.2019
```

formation energy: -0.16 eV per atom

Compound: Mn2GeHN
Source: Alexandria
Functional: PBE-GGA
Structure: optimized geometry

Structure (extended XYZ):
```
5
Lattice="3.5075 -1.3255 0.0000 3.5075 1.3255 0.0000 -0.7115 0.0000 5.3404" Properties=species:S:1:pos:R:3 pbc="T T T"
Mn 0.0000 0.0000 0.0000
Mn 1.2349 0.0000 3.7484
Ge 3.1608 0.0000 2.1752
H 5.0964 0.0000 2.6899
N 4.3570 0.0000 5.0642
```

final energy: -6.90 eV/atom